Entry 1:
The following is a GGA-PBE calculation of crystalline AcPr3Ag2 at its relaxed geometry, from Alexandria.

## Properties
- formation energy (eV per atom) = -0.146
- space group = P4/mmm
- total magnetic moment (μB per cell) = 0.00

Unit cell a=3.798 b=3.798 c=13.053 alpha=90.00 beta=90.00 gamma=90.00
Positions (direct):
1 Ac 0.000 0.000 0.000
2 Pr 0.500 0.500 0.211
3 Pr 0.500 0.500 0.500
4 Pr 0.500 0.500 0.789
5 Ag 0.000 0.000 0.355
6 Ag 0.000 0.000 0.645

Entry 2:
The following is a GGA-PBE calculation of crystalline Zr2CrCl at its relaxed geometry, from Alexandria.

## Properties
- energy relative to the lowest polymorph listed for this composition (meV per atom) = 484.1
- raw formation energy (eV per atom) = 0.083
- space group = Cmmm
- total magnetic moment (μB per cell) = 2.32

Unit cell a=4.948 b=4.948 c=3.111 alpha=90.00 beta=90.00 gamma=101.12
Positions (direct):
1 Zr 0.000 0.500 0.000
2 Zr 0.500 0.000 0.000
3 Cr 0.000 0.000 0.500
4 Cl 0.500 0.500 0.500

Entry 3:
The following is a GGA-PBE calculation of crystalline ErTm4Ag5 at its relaxed geometry, from Alexandria.

## Properties
- formation energy (eV per atom) = -0.340
- space group = P4/mmm
- total magnetic moment (μB per cell) = 0.00

Unit cell a=3.556 b=3.556 c=18.270 alpha=90.00 beta=90.00 gamma=90.00
Positions (direct):
1 Er 0.000 0.000 0.000
2 Tm 0.000 0.000 0.201
3 Tm 0.000 0.000 0.400
4 Tm 0.000 0.000 0.600
5 Tm 0.000 0.000 0.799
6 Ag 0.500 0.500 0.101
7 Ag 0.500 0.500 0.300
8 Ag 0.500 0.500 0.500
9 Ag 0.500 0.500 0.700
10 Ag 0.500 0.500 0.899

Entry 4:
The following is a GGA-PBE calculation of crystalline VZn4Pd5 at its relaxed geometry, from Alexandria.

## Properties
- formation energy (eV per atom) = -0.471
- space group = P4/mmm
- total magnetic moment (μB per cell) = 0.00

Unit cell a=2.856 b=2.856 c=17.655 alpha=90.00 beta=90.00 gamma=90.00
Positions (direct):
1 V 0.000 0.000 0.000
2 Zn 0.000 0.000 0.203
3 Zn 0.000 0.000 0.401
4 Zn 0.000 0.000 0.599
5 Zn 0.000 0.000 0.797
6 Pd 0.500 0.500 0.102
7 Pd 0.500 0.500 0.302
8 Pd 0.500 0.500 0.500
9 Pd 0.500 0.500 0.698
10 Pd 0.500 0.500 0.898

Entry 5:
The following is a GGA-PBE calculation of crystalline DyThU2P4 at its relaxed geometry, from Alexandria.

## Properties
- formation energy (eV per atom) = -1.265
- space group = P2/m
- total magnetic moment (μB per cell) = 4.33

Unit cell a=6.902 b=3.985 c=7.015 alpha=90.00 beta=109.12 gamma=90.00
Positions (direct):
1 Dy 0.000 0.000 0.000
2 Th 0.500 0.500 0.000
3 U 0.000 0.500 0.500
4 U 0.500 0.000 0.500
5 P 0.241 0.000 0.738
6 P 0.248 0.500 0.259
7 P 0.752 0.500 0.741
8 P 0.759 0.000 0.262

Entry 6:
The following is a GGA-PBE calculation of crystalline Co2PdPtN at its relaxed geometry, from Alexandria.

## Properties
- energy relative to the lowest polymorph listed for this composition (meV per atom) = 0.0
- raw formation energy (eV per atom) = 0.158
- space group = P4/mmm
- total magnetic moment (μB per cell) = 3.70

Unit cell a=3.817 b=3.817 c=4.175 alpha=90.00 beta=90.00 gamma=90.00
Positions (direct):
1 Co 0.000 0.500 0.000
2 Co 0.500 0.000 0.000
3 Pd 0.000 0.000 0.500
4 Pt 0.500 0.500 0.500
5 N 0.000 0.000 0.000

Entry 7:
The following is a GGA-PBE calculation of crystalline HfVCr at its relaxed geometry, from Alexandria.

## Properties
- formation energy (eV per atom) = 0.081
- energy relative to the lowest polymorph listed for this composition (meV per atom) = 153.9
- space group = Cmcm
- total magnetic moment (μB per cell) = 0.00

Unit cell a=5.323 b=5.323 c=4.428 alpha=90.00 beta=90.00 gamma=132.05
Positions (direct):
1 Hf 0.250 0.750 0.750
2 Hf 0.750 0.250 0.250
3 V 0.059 0.941 0.250
4 V 0.941 0.059 0.750
5 Cr 0.436 0.564 0.250
6 Cr 0.564 0.436 0.750

Entry 8:
The following is a GGA-PBE calculation of crystalline YCuOs2 at its relaxed geometry, from Alexandria.

## Properties
- formation energy (eV per atom) = 0.288
- energy relative to the lowest polymorph listed for this composition (meV per atom) = 112.8
- space group = Cm
- total magnetic moment (μB per cell) = 0.00

Unit cell a=4.605 b=4.605 c=5.577 alpha=100.64 beta=100.64 gamma=37.60
Positions (direct):
1 Y 0.000 0.000 0.000
2 Cu 0.235 0.235 0.716
3 Os 0.491 0.491 0.489
4 Os 0.747 0.747 0.345